Ba2AcAl6 | PBE-GGA | relaxed

Cell and atoms, written as POSCAR:
```
Ba2AcAl6
1.0
7.925 0.000 0.000
-3.963 6.864 0.000
0.000 0.000 4.986
Ba Ac Al
2 1 6
Direct
0.333 0.667 0.000
0.667 0.333 0.000
0.000 0.000 0.000
0.000 0.330 0.500
0.000 0.670 0.500
0.330 0.000 0.500
0.330 0.330 0.500
0.670 0.000 0.500
0.670 0.670 0.500
```

* symmetry: P6/mmm
* ΔE_f: -0.2442 eV per atom
* polymorph energy (0 for the lowest one): 0 meV per atom